1.
This record from the Alexandria database describes a geometry-optimized La2Ag2Au structure. The functional is PBE.

CIF file:
```
data_La2Ag2Au
_chemical_formula_sum 'La4 Ag4 Au2'
_cell_length_a 7.920
_cell_length_b 7.920
_cell_length_c 4.185
_cell_angle_alpha 90.00
_cell_angle_beta 90.00
_cell_angle_gamma 90.00
_symmetry_space_group_name_H-M 'P 4/m b m'
_symmetry_Int_Tables_number 127
_symmetry_space_group_name_Hall '-P 4 2ab'
loop_
_atom_site_label
_atom_site_type_symbol
_atom_site_fract_x
_atom_site_fract_y
_atom_site_fract_z
La1 La 0.178 0.322 0.000
Ag1 Ag 0.125 0.625 0.500
Au1 Au 0.000 0.000 0.500
```

**Energy of formation**: -0.366 eV per atom
**E_tot**: -20.66 eV per formula unit
**E above lowest polymorph**: 0.086 eV per atom
**Total magnetic moment**: 0.000 μB/cell

2.
This record from the Alexandria database describes a geometry-optimized La2AgAu3 structure. The functional is PBE.

CIF file:
```
data_La2AgAu3
_chemical_formula_sum 'La4 Ag2 Au6'
_cell_length_a 4.121
_cell_length_b 4.127
_cell_length_c 18.219
_cell_angle_alpha 90.00
_cell_angle_beta 90.00
_cell_angle_gamma 90.00
_symmetry_space_group_name_H-M 'I m m 2'
_symmetry_Int_Tables_number 44
loop_
_symmetry_equiv_pos_as_xyz
'x,y,z'
'-x,-y,z'
'-x,y,z'
'x,-y,z'
'x+1/2,y+1/2,z+1/2'
'-x+1/2,-y+1/2,z+1/2'
'-x+1/2,y+1/2,z+1/2'
'x+1/2,-y+1/2,z+1/2'
loop_
_atom_site_label
_atom_site_type_symbol
_atom_site_fract_x
_atom_site_fract_y
_atom_site_fract_z
La1 La 0.000 0.000 0.000
La2 La 0.000 0.500 0.243
Ag1 Ag 0.000 0.000 0.416
Au1 Au 0.000 0.000 0.568
Au2 Au 0.000 0.500 0.668
Au3 Au 0.000 0.500 0.820
```

**Energy of formation**: -0.650 eV per atom
**E_tot**: -26.44 eV per formula unit
**E above lowest polymorph**: 0.041 eV per atom
**Total magnetic moment**: 0.000 μB/cell

3.
This record from the Alexandria database describes a geometry-optimized La3AgAu2 structure. The functional is PBE.

CIF file:
```
data_La3AgAu2
_chemical_formula_sum 'La6 Ag2 Au4'
_cell_length_a 5.3768
_cell_length_b 5.3768
_cell_length_c 13.0853
_cell_angle_alpha 90.00
_cell_angle_beta 90.00
_cell_angle_gamma 120.00
_symmetry_space_group_name_H-M 'P -3 m 1'
_symmetry_Int_Tables_number 164
_symmetry_space_group_name_Hall '-P 3 2"'
loop_
_atom_site_label
_atom_site_type_symbol
_atom_site_fract_x
_atom_site_fract_y
_atom_site_fract_z
La1 La 0.0000 0.0000 0.2461
La2 La 0.3333 0.6667 0.4183
La3 La 0.3333 0.6667 0.9227
Ag1 Ag 0.3333 0.6667 0.6710
Au1 Au 0.0000 0.0000 0.0000
Au2 Au 0.0000 0.0000 0.5000
Au3 Au 0.3333 0.6667 0.1755
```

**Energy of formation**: -0.609 eV per atom
**E_tot**: -27.84 eV per formula unit
**E above lowest polymorph**: 0.003 eV per atom
**Total magnetic moment**: 0.000 μB/cell

4.
This record from the Alexandria database describes a geometry-optimized La2AgAu structure. The functional is PBE.

CIF file:
```
data_La2AgAu
_chemical_formula_sum 'La4 Ag2 Au2'
_cell_length_a 11.707
_cell_length_b 3.837
_cell_length_c 5.024
_cell_angle_alpha 90.00
_cell_angle_beta 107.41
_cell_angle_gamma 90.00
_symmetry_space_group_name_H-M 'C 1 m 1'
_symmetry_Int_Tables_number 8
loop_
_symmetry_equiv_pos_as_xyz
'x,y,z'
'x,-y,z'
'x+1/2,y+1/2,z'
'x+1/2,-y+1/2,z'
loop_
_atom_site_label
_atom_site_type_symbol
_atom_site_fract_x
_atom_site_fract_y
_atom_site_fract_z
La1 La 0.000 0.000 0.000
La2 La 0.207 0.000 0.645
Ag1 Ag 0.446 0.000 0.455
Au1 Au 0.250 0.500 0.172
```

**Energy of formation**: -0.417 eV per atom
**E_tot**: -17.65 eV per formula unit
**E above lowest polymorph**: 0.121 eV per atom
**Total magnetic moment**: 0.000 μB/cell

5.
This record from the Alexandria database describes a geometry-optimized La11Ag9Au4 structure. The functional is PBE.

CIF file:
```
data_La11Ag9Au4
_chemical_formula_sum 'La22 Ag18 Au8'
_cell_length_a 14.789
_cell_length_b 22.342
_cell_length_c 3.942
_cell_angle_alpha 90.00
_cell_angle_beta 90.00
_cell_angle_gamma 90.00
_symmetry_space_group_name_H-M 'C m m m'
_symmetry_Int_Tables_number 65
_symmetry_space_group_name_Hall '-C 2 2'
loop_
_atom_site_label
_atom_site_type_symbol
_atom_site_fract_x
_atom_site_fract_y
_atom_site_fract_z
La1 La 0.000 0.000 0.000
La2 La 0.000 0.167 0.000
La3 La 0.000 0.364 0.000
La4 La 0.212 0.500 0.000
La5 La 0.235 0.175 0.000
Ag1 Ag 0.000 0.500 0.500
Ag2 Ag 0.105 0.264 0.500
Ag3 Ag 0.135 0.075 0.500
Au1 Au 0.152 0.401 0.500
```

**Energy of formation**: -0.428 eV per atom
**E_tot**: -103.24 eV per formula unit
**Total magnetic moment**: 0.000 μB/cell

6.
This record from the Alexandria database describes a geometry-optimized LaAgAu4 structure. The functional is PBE.

CIF file:
```
data_LaAgAu4
_chemical_formula_sum 'La4 Ag4 Au16'
_cell_length_a 7.954
_cell_length_b 7.954
_cell_length_c 7.954
_cell_angle_alpha 90.00
_cell_angle_beta 90.00
_cell_angle_gamma 90.00
_symmetry_space_group_name_H-M 'F -4 3 m'
_symmetry_Int_Tables_number 216
_symmetry_space_group_name_Hall 'F -4 2 3'
loop_
_atom_site_label
_atom_site_type_symbol
_atom_site_fract_x
_atom_site_fract_y
_atom_site_fract_z
La1 La 0.000 0.000 0.000
Ag1 Ag 0.250 0.250 0.750
Au1 Au 0.124 0.124 0.376
```

**Energy of formation**: -0.455 eV per atom
**E_tot**: -23.62 eV per formula unit
**E above lowest polymorph**: 0.000 eV per atom
**Total magnetic moment**: 0.000 μB/cell

7.
This record from the Alexandria database describes a geometry-optimized La2Ag2Au15 structure. The functional is PBE.

CIF file:
```
data_La2Ag2Au15
_chemical_formula_sum 'La6 Ag6 Au45'
_cell_length_a 9.6118
_cell_length_b 9.6118
_cell_length_c 14.5081
_cell_angle_alpha 90.00
_cell_angle_beta 90.00
_cell_angle_gamma 120.00
_symmetry_space_group_name_H-M 'R -3 m'
_symmetry_Int_Tables_number 166
_symmetry_space_group_name_Hall '-R 3 2"'
loop_
_atom_site_label
_atom_site_type_symbol
_atom_site_fract_x
_atom_site_fract_y
_atom_site_fract_z
La1 La 0.0000 0.0000 0.1579
Ag1 Ag 0.0000 0.0000 0.4018
Au1 Au 0.0000 0.3027 0.5000
Au2 Au 0.0000 0.5000 0.0000
Au3 Au 0.0078 0.5039 0.6488
```

**Energy of formation**: -0.299 eV per atom
**E_tot**: -70.41 eV per formula unit
**Total magnetic moment**: 0.000 μB/cell

8.
This record from the Alexandria database describes a geometry-optimized La4Ag3Au structure. The functional is PBE.

CIF file:
```
data_La4Ag3Au
_chemical_formula_sum 'La4 Ag3 Au1'
_cell_length_a 3.994
_cell_length_b 4.946
_cell_length_c 11.605
_cell_angle_alpha 90.00
_cell_angle_beta 90.00
_cell_angle_gamma 90.00
_symmetry_space_group_name_H-M 'P m m 2'
_symmetry_Int_Tables_number 25
loop_
_symmetry_equiv_pos_as_xyz
'x,y,z'
'-x,-y,z'
'-x,y,z'
'x,-y,z'
loop_
_atom_site_label
_atom_site_type_symbol
_atom_site_fract_x
_atom_site_fract_y
_atom_site_fract_z
La1 La 0.000 0.000 0.000
La2 La 0.000 0.500 0.274
La3 La 0.500 0.000 0.492
La4 La 0.500 0.500 0.776
Ag1 Ag 0.000 0.000 0.712
Ag2 Ag 0.000 0.500 0.557
Ag3 Ag 0.500 0.500 0.056
Au1 Au 0.500 0.000 0.217
```

**Energy of formation**: -0.393 eV per atom
**E_tot**: -34.69 eV per formula unit
**Total magnetic moment**: 0.000 μB/cell

9.
This record from the Alexandria database describes a geometry-optimized La5Ag4Au structure. The functional is PBE.

CIF file:
```
data_La5Ag4Au
_chemical_formula_sum 'La5 Ag4 Au1'
_cell_length_a 3.790
_cell_length_b 3.790
_cell_length_c 19.349
_cell_angle_alpha 90.00
_cell_angle_beta 90.00
_cell_angle_gamma 90.00
_symmetry_space_group_name_H-M 'P 4/m m m'
_symmetry_Int_Tables_number 123
_symmetry_space_group_name_Hall '-P 4 2'
loop_
_atom_site_label
_atom_site_type_symbol
_atom_site_fract_x
_atom_site_fract_y
_atom_site_fract_z
La1 La 0.000 0.000 0.000
La2 La 0.000 0.000 0.202
La3 La 0.000 0.000 0.404
Ag1 Ag 0.500 0.500 0.101
Ag2 Ag 0.500 0.500 0.300
Au1 Au 0.500 0.500 0.500
```

**Energy of formation**: -0.366 eV per atom
**E_tot**: -42.97 eV per formula unit
**Total magnetic moment**: 0.000 μB/cell

10.
This record from the Alexandria database describes a geometry-optimized LaAgAu2 structure. The functional is PBE.

CIF file:
```
data_LaAgAu2
_chemical_formula_sum 'La3 Ag3 Au6'
_cell_length_a 4.8228
_cell_length_b 4.8228
_cell_length_c 13.8816
_cell_angle_alpha 90.00
_cell_angle_beta 90.00
_cell_angle_gamma 120.00
_symmetry_space_group_name_H-M 'R 3 m'
_symmetry_Int_Tables_number 160
_symmetry_space_group_name_Hall 'R 3 -2"'
loop_
_atom_site_label
_atom_site_type_symbol
_atom_site_fract_x
_atom_site_fract_y
_atom_site_fract_z
La1 La 0.0000 0.0000 0.0000
Ag1 Ag 0.0000 0.0000 0.7759
Au1 Au 0.0000 0.0000 0.2262
Au2 Au 0.0000 0.0000 0.4787
```

**Energy of formation**: -0.505 eV per atom
**E_tot**: -16.35 eV per formula unit
**E above lowest polymorph**: 0.082 eV per atom
**Total magnetic moment**: 0.000 μB/cell

11.
This record from the Alexandria database describes a geometry-optimized La6AgAu3 structure. The functional is PBE.

CIF file:
```
data_La6AgAu3
_chemical_formula_sum 'La12 Ag2 Au6'
_cell_length_a 9.495
_cell_length_b 5.185
_cell_length_c 12.569
_cell_angle_alpha 90.00
_cell_angle_beta 106.22
_cell_angle_gamma 90.00
_symmetry_space_group_name_H-M 'P 1 21/m 1'
_symmetry_Int_Tables_number 11
loop_
_symmetry_equiv_pos_as_xyz
'x,y,z'
'-x,-y,-z'
'-x,y+1/2,-z'
'x,-y+1/2,z'
loop_
_atom_site_label
_atom_site_type_symbol
_atom_site_fract_x
_atom_site_fract_y
_atom_site_fract_z
La1 La 0.042 0.250 0.108
La2 La 0.143 0.250 0.731
La3 La 0.192 0.750 0.515
La4 La 0.372 0.750 0.856
La5 La 0.373 0.750 0.119
La6 La 0.384 0.250 0.365
Ag1 Ag 0.413 0.250 0.634
Au1 Au 0.044 0.250 0.359
Au2 Au 0.177 0.750 0.265
Au3 Au 0.287 0.250 0.981
```

**Energy of formation**: -0.518 eV per atom
**E_tot**: -47.43 eV per formula unit
**Total magnetic moment**: 0.000 μB/cell

12.
This record from the Alexandria database describes a geometry-optimized La4AgAu2 structure. The functional is PBE.

CIF file:
```
data_La4AgAu2
_chemical_formula_sum 'La12 Ag3 Au6'
_cell_length_a 5.2861
_cell_length_b 5.2861
_cell_length_c 26.2526
_cell_angle_alpha 90.00
_cell_angle_beta 90.00
_cell_angle_gamma 120.00
_symmetry_space_group_name_H-M 'R -3 m'
_symmetry_Int_Tables_number 166
_symmetry_space_group_name_Hall '-R 3 2"'
loop_
_atom_site_label
_atom_site_type_symbol
_atom_site_fract_x
_atom_site_fract_y
_atom_site_fract_z
La1 La 0.0000 0.0000 0.1234
La2 La 0.0000 0.0000 0.3743
Ag1 Ag 0.0000 0.0000 0.5000
Au1 Au 0.0000 0.0000 0.2551
```

**Energy of formation**: -0.458 eV per atom
**E_tot**: -32.32 eV per formula unit
**Total magnetic moment**: 0.001 μB/cell